Record 1
Here is a relaxed NbNi2Pt2 crystal from OQMD. Energies are from GGA-PBE.

Results
polymorph energy (0 for the lowest one) = 186 meV per atom
symmetry = I4/mmm, No. 139
density = 13181 kg/m³
formation energy = 0.0636 eV/atom
spin magnetization = 0.0 μB per cell
E_tot = -6.605 eV/atom

Cell: 6.126 6.126 6.126 Å, 144.90 144.90 50.49°
Fractional coordinates of all 5 atoms:
Nb  0.000  0.000  0.000
Ni  0.402  0.402  0.000
Ni  0.598  0.598  0.000
Pt  0.250  0.750  0.500
Pt  0.750  0.250  0.500

***

Record 2
Here is a relaxed NaAgTe2WS crystal from OQMD. Energies are from GGA-PBE.

Results
symmetry = Cmcm, No. 63
density = 6735 kg/m³
spin magnetization = 3.9 μB per cell
E_tot = -4.639 eV/atom

Cell: 7.688 7.688 9.843 Å, 90.00 90.00 149.32°
Fractional coordinates of all 12 atoms:
Na  0.232  0.768  0.750
Na  0.768  0.232  0.250
Ag  0.446  0.554  0.250
Ag  0.554  0.446  0.750
Te  0.365  0.635  0.005
Te  0.365  0.635  0.495
Te  0.635  0.365  0.505
Te  0.635  0.365  0.995
W  0.000  0.000  0.000
W  0.000  0.000  0.500
S  0.048  0.952  0.250
S  0.952  0.048  0.750

***

Record 3
Here is a relaxed ZnCoReAg crystal from OQMD. Energies are from GGA-PBE.

Results
polymorph energy (0 for the lowest one) = 0 meV per atom
symmetry = F-43m, No. 216
density = 12164 kg/m³
formation energy = 0.6126 eV/atom
spin magnetization = 0.9 μB per cell
E_tot = -5.292 eV/atom

Cell: 4.323 4.323 4.323 Å, 60.00 60.00 60.00°
Fractional coordinates of all 4 atoms:
Zn  0.000  0.000  0.000
Co  0.250  0.250  0.250
Re  0.500  0.500  0.500
Ag  0.750  0.750  0.750

***

Record 4
Here is a relaxed TeAsIrO crystal from OQMD. Energies are from GGA-PBE.

Results
polymorph energy (0 for the lowest one) = 0 meV per atom
symmetry = P4/nmm, No. 129
density = 8649 kg/m³
spin magnetization = 0.0 μB per cell
E_tot = -5.467 eV/atom

Cell: 4.167 4.167 9.084 Å, 90.00 90.00 90.00°
Fractional coordinates of all 8 atoms:
Te  0.250  0.250  0.097
Te  0.750  0.750  0.903
As  0.250  0.250  0.648
As  0.750  0.750  0.352
Ir  0.250  0.750  0.500
Ir  0.750  0.250  0.500
O  0.250  0.750  0.000
O  0.750  0.250  0.000

***

Record 5
Here is a relaxed SnPdW2 crystal from OQMD. Energies are from GGA-PBE.

Results
symmetry = F-43m, No. 216
density = 14433 kg/m³
spin magnetization = 0.0 μB per cell
E_tot = -8.387 eV/atom

Cell: 4.586 4.586 4.586 Å, 60.00 60.00 60.00°
Fractional coordinates of all 4 atoms:
Sn  0.000  0.000  0.000
Pd  0.250  0.250  0.250
W  0.500  0.500  0.500
W  0.750  0.750  0.750

***

Record 6
Here is a relaxed YCd2 crystal from OQMD. Energies are from GGA-PBE.

Results
symmetry = P6/mmm, No. 191
density = 7306 kg/m³
formation energy = -0.3422 eV/atom
spin magnetization = 0.0 μB per cell
E_tot = -3.094 eV/atom

Cell: 4.932 4.932 3.384 Å, 90.00 90.00 120.00°
Fractional coordinates of all 3 atoms:
Y  0.000  0.000  0.000
Cd  0.333  0.667  0.500
Cd  0.667  0.333  0.500

***

Record 7
Here is a relaxed HfBMo crystal from OQMD. Energies are from GGA-PBE.

Results
polymorph energy (0 for the lowest one) = 0 meV per atom
symmetry = Pnma, No. 62
density = 11255 kg/m³
spin magnetization = 0.0 μB per cell
E_tot = -9.656 eV/atom

Cell: 6.465 3.334 7.810 Å, 90.00 90.00 90.00°
Fractional coordinates of all 12 atoms:
Hf  0.033  0.250  0.169
Hf  0.467  0.750  0.669
Hf  0.533  0.250  0.331
Hf  0.967  0.750  0.831
B  0.237  0.750  0.362
B  0.263  0.250  0.862
B  0.737  0.750  0.138
B  0.763  0.250  0.638
Mo  0.139  0.250  0.555
Mo  0.361  0.750  0.055
Mo  0.639  0.250  0.945
Mo  0.861  0.750  0.445

***

Record 8
Here is a relaxed NbAlHg2 crystal from OQMD. Energies are from GGA-PBE.

Results
symmetry = F-43m, No. 216
density = 10962 kg/m³
spin magnetization = 1.7 μB per cell
E_tot = -3.136 eV/atom

Cell: 4.815 4.815 4.815 Å, 60.00 60.00 60.00°
Fractional coordinates of all 4 atoms:
Nb  0.000  0.000  0.000
Al  0.750  0.750  0.750
Hg  0.250  0.250  0.250
Hg  0.500  0.500  0.500

***

Record 9
Here is a relaxed FeCoHgB crystal from OQMD. Energies are from GGA-PBE.

Results
polymorph energy (0 for the lowest one) = 0 meV per atom
symmetry = F-43m, No. 216
density = 10868 kg/m³
spin magnetization = 3.2 μB per cell
E_tot = -4.696 eV/atom

Cell: 4.131 4.131 4.131 Å, 60.00 60.00 60.00°
Fractional coordinates of all 4 atoms:
Fe  0.000  0.000  0.000
Co  0.500  0.500  0.500
Hg  0.750  0.750  0.750
B  0.250  0.250  0.250

***

Record 10
Here is a relaxed MgMoPd crystal from OQMD. Energies are from GGA-PBE.

Results
symmetry = F-43m, No. 216
density = 6482 kg/m³
spin magnetization = 3.3 μB per cell
E_tot = -4.911 eV/atom

Cell: 4.347 4.347 4.347 Å, 60.00 60.00 60.00°
Fractional coordinates of all 3 atoms:
Mg  0.000  0.000  0.000
Mo  0.750  0.750  0.750
Pd  0.250  0.250  0.250

***

Record 11
Here is a relaxed BaGdSO crystal from OQMD. Energies are from GGA-PBE.

Results
polymorph energy (0 for the lowest one) = 110 meV per atom
symmetry = R-3m, No. 166
density = 5821 kg/m³
spin magnetization = 0.5 μB per cell
E_tot = -6.027 eV/atom

Cell: 10.436 10.436 10.436 Å, 26.22 26.22 26.22°
Fractional coordinates of all 8 atoms:
Ba  0.124  0.124  0.124
Ba  0.876  0.876  0.876
Gd  0.289  0.289  0.289
Gd  0.711  0.711  0.711
S  0.383  0.383  0.383
S  0.617  0.617  0.617
O  0.214  0.214  0.214
O  0.786  0.786  0.786

***

Record 12
Here is a relaxed ErCdTe crystal from OQMD. Energies are from GGA-PBE.

Results
polymorph energy (0 for the lowest one) = 143 meV per atom
symmetry = F-43m, No. 216
density = 7098 kg/m³
spin magnetization = 0.0 μB per cell
E_tot = -3.108 eV/atom

Cell: 5.127 5.127 5.127 Å, 60.00 60.00 60.00°
Fractional coordinates of all 3 atoms:
Er  0.000  0.000  0.000
Cd  0.500  0.500  0.500
Te  0.750  0.750  0.750

***

Record 13
Here is a relaxed La2ZnTc crystal from OQMD. Energies are from GGA-PBE.

Results
symmetry = F-43m, No. 216
density = 8417 kg/m³
formation energy = 0.1433 eV/atom
spin magnetization = 0.0 μB per cell
E_tot = -5.224 eV/atom

Cell: 4.975 4.975 4.975 Å, 60.00 60.00 60.00°
Fractional coordinates of all 4 atoms:
La  0.000  0.000  0.000
La  0.250  0.250  0.250
Zn  0.500  0.500  0.500
Tc  0.750  0.750  0.750